# 1
VASP calculation (PBE-GGA) on an optimized crystal structure of ZnCrRh4.

ΔH_f (0 K) ... 0.199 eV/atom
Raw total energy ... -6.518 eV per atom
Crystal system ... monoclinic
Mass density ... 9.3 g/cm3

Unit cell a=4.0093 b=4.0093 c=5.8463 alpha=90.07 beta=90.07 gamma=90.02
Last column: nearest neighbours and their distance in Å.
Element x y z (fractional)
Zn 0.0000 0.0000 0.0000  8 Rh 2.52
Cr 0.5000 0.5000 0.5000  8 Rh 2.44
Rh 0.0000 0.5002 0.2617  2 Cr 2.44, 2 Zn 2.52
Rh 0.0000 0.4998 0.7383  2 Cr 2.44, 2 Zn 2.52
Rh 0.5002 0.0000 0.2617  2 Cr 2.44, 2 Zn 2.52
Rh 0.4998 0.0000 0.7383  2 Cr 2.44, 2 Zn 2.52

# 2
VASP calculation (PBE-GGA) on an optimized crystal structure of ZnCrRh2.

ΔH_f (0 K) ... 0.007 eV/atom
Raw total energy ... -6.393 eV per atom
Crystal system ... trigonal
Mass density ... 9.8 g/cm3

Unit cell a=8.7624 b=8.7624 c=8.7624 alpha=17.75 beta=17.75 gamma=17.75
Last column: nearest neighbours and their distance in Å.
Element x y z (fractional)
Zn 0.0000 0.0000 0.0000  3 Rh 2.63, 3 Cr 2.70, 6 Zn 2.70
Cr 0.2483 0.2483 0.2483  3 Rh 2.50, 3 Zn 2.70, 6 Cr 2.70
Rh 0.5060 0.5060 0.5060  3 Cr 2.50, 6 Rh 2.70
Rh 0.7487 0.7487 0.7487  3 Zn 2.63, 9 Rh 2.70-2.82

# 3
VASP calculation (PBE-GGA) on an optimized crystal structure of ZnCrRh3.

ΔH_f (0 K) ... 1.391 eV/atom
Raw total energy ... -5.199 eV per atom
Crystal system ... cubic
Mass density ... 8.0 g/cm3

Unit cell a=4.4565 b=4.4565 c=4.4565 alpha=90.00 beta=90.00 gamma=90.00
Last column: nearest neighbours and their distance in Å.
Element x y z (fractional)
Zn 0.0000 0.0000 0.0000  6 Rh 2.23
Cr 0.5000 0.5000 0.5000  12 Rh 3.15
Rh 0.0000 0.0000 0.5000  2 Zn 2.23
Rh 0.0000 0.5000 0.0000  2 Zn 2.23
Rh 0.5000 0.0000 0.0000  2 Zn 2.23